1.
# BaZr2Cd

BaZr2Cd after structural relaxation (GGA-PBE, the Alexandria database).

Calculated values
energy relative to the elements	1.99	eV/f.u.
magnetization	0.00	Bohr magnetons per cell

```
data_BaZr2Cd
_chemical_formula_sum 'Ba2 Zr4 Cd2'
_symmetry_space_group_name_H-M 'I 4/m m m'
_symmetry_Int_Tables_number 139
_symmetry_space_group_name_Hall '-I 4 2'
_cell_length_a 4.659
_cell_length_b 4.659
_cell_length_c 10.042
_cell_angle_alpha 90.00
_cell_angle_beta 90.00
_cell_angle_gamma 90.00
loop_
_atom_site_label
_atom_site_type_symbol
_atom_site_fract_x
_atom_site_fract_y
_atom_site_fract_z
Ba1 Ba 0.000 0.000 0.000
Zr1 Zr 0.000 0.500 0.250
Cd1 Cd 0.000 0.000 0.500
```

2.
# Dy3TmSb4

Dy3TmSb4 after structural relaxation (GGA-PBE, the Alexandria database).

Calculated values
magnetization	0.00	Bohr magnetons per cell
formation energy without anion corrections	-8.96	eV per formula unit

```
data_Dy3TmSb4
_chemical_formula_sum 'Dy3 Tm1 Sb4'
_symmetry_space_group_name_H-M 'P m -3 m'
_symmetry_Int_Tables_number 221
_symmetry_space_group_name_Hall '-P 4 2 3'
_cell_length_a 6.178
_cell_length_b 6.178
_cell_length_c 6.178
_cell_angle_alpha 90.00
_cell_angle_beta 90.00
_cell_angle_gamma 90.00
loop_
_atom_site_label
_atom_site_type_symbol
_atom_site_fract_x
_atom_site_fract_y
_atom_site_fract_z
Dy1 Dy 0.000 0.000 0.500
Tm1 Tm 0.500 0.500 0.500
Sb1 Sb 0.000 0.000 0.000
Sb2 Sb 0.000 0.500 0.500
```

3.
# SrSbP2N6

SrSbP2N6 after structural relaxation (GGA-PBE, the Alexandria database).

Calculated values
magnetization	1.51	Bohr magnetons per cell
formation energy without anion corrections	-0.83	eV per formula unit

```
data_SrSbP2N6
_chemical_formula_sum 'Sr4 Sb4 P8 N24'
_symmetry_space_group_name_H-M 'C 1 2/c 1'
_symmetry_Int_Tables_number 15
_cell_length_a 9.967
_cell_length_b 10.190
_cell_length_c 5.476
_cell_angle_alpha 90.00
_cell_angle_beta 106.61
_cell_angle_gamma 90.00
loop_
_symmetry_equiv_pos_as_xyz
'x,y,z'
'-x,-y,-z'
'-x,y,-z+1/2'
'x,-y,z+1/2'
'x+1/2,y+1/2,z'
'-x+1/2,-y+1/2,-z'
'-x+1/2,y+1/2,-z+1/2'
'x+1/2,-y+1/2,z+1/2'
loop_
_atom_site_label
_atom_site_type_symbol
_atom_site_fract_x
_atom_site_fract_y
_atom_site_fract_z
Sr1 Sr 0.000 0.099 0.250
Sb1 Sb 0.000 0.284 0.750
P1 P 0.209 0.421 0.146
N1 N 0.095 0.304 0.125
N2 N 0.132 0.124 0.718
N3 N 0.172 0.456 0.823
```

4.
# Hf6Ga3C

Hf6Ga3C after structural relaxation (GGA-PBE, the Alexandria database).

Calculated values
energy relative to the elements	-4.06	eV/f.u.
magnetization	0.00	Bohr magnetons per cell

```
data_Hf6Ga3C
_chemical_formula_sum 'Hf12 Ga6 C2'
_symmetry_space_group_name_H-M 'P 1 21/c 1'
_symmetry_Int_Tables_number 14
_cell_length_a 5.742
_cell_length_b 7.237
_cell_length_c 10.493
_cell_angle_alpha 90.00
_cell_angle_beta 120.11
_cell_angle_gamma 90.00
loop_
_symmetry_equiv_pos_as_xyz
'x,y,z'
'-x,-y,-z'
'-x,y+1/2,-z+1/2'
'x,-y+1/2,z+1/2'
loop_
_atom_site_label
_atom_site_type_symbol
_atom_site_fract_x
_atom_site_fract_y
_atom_site_fract_z
Hf1 Hf 0.079 0.049 0.232
Hf2 Hf 0.176 0.712 0.057
Hf3 Hf 0.389 0.151 0.049
Ga1 Ga 0.332 0.112 0.740
Ga2 Ga 0.500 0.000 0.500
C1 C 0.000 0.000 0.000
```

5.
# AgBi2H2

AgBi2H2 after structural relaxation (GGA-PBE, the Alexandria database).

Calculated values
energy relative to the lowest polymorph listed for this composition	1.35	eV per formula unit
magnetization	0.00	Bohr magnetons per cell

```
data_AgBi2H2
_chemical_formula_sum 'Ag2 Bi4 H4'
_symmetry_space_group_name_H-M 'I 4/m m m'
_symmetry_Int_Tables_number 139
_symmetry_space_group_name_Hall '-I 4 2'
_cell_length_a 3.567
_cell_length_b 3.567
_cell_length_c 13.955
_cell_angle_alpha 90.00
_cell_angle_beta 90.00
_cell_angle_gamma 90.00
loop_
_atom_site_label
_atom_site_type_symbol
_atom_site_fract_x
_atom_site_fract_y
_atom_site_fract_z
Ag1 Ag 0.000 0.000 0.000
Bi1 Bi 0.000 0.000 0.364
H1 H 0.000 0.500 0.250
```

6.
# Tm3PbSe2

Tm3PbSe2 after structural relaxation (GGA-PBE, the Alexandria database).

Calculated values
energy relative to the lowest polymorph listed for this composition	0.00	eV per formula unit
magnetization	0.00	Bohr magnetons per cell
formation energy without anion corrections	-7.61	eV per formula unit

```
data_Tm3PbSe2
_chemical_formula_sum 'Tm6 Pb2 Se4'
_symmetry_space_group_name_H-M 'I m m m'
_symmetry_Int_Tables_number 71
_symmetry_space_group_name_Hall '-I 2 2'
_cell_length_a 4.177
_cell_length_b 5.901
_cell_length_c 12.406
_cell_angle_alpha 90.00
_cell_angle_beta 90.00
_cell_angle_gamma 90.00
loop_
_atom_site_label
_atom_site_type_symbol
_atom_site_fract_x
_atom_site_fract_y
_atom_site_fract_z
Tm1 Tm 0.000 0.000 0.000
Tm2 Tm 0.000 0.000 0.326
Pb1 Pb 0.000 0.500 0.000
Se1 Se 0.000 0.500 0.335
```

7.
# Pr5SmDy4

Pr5SmDy4 after structural relaxation (GGA-PBE, the Alexandria database).

Calculated values
energy relative to the lowest polymorph listed for this composition	0.00	eV per formula unit
energy relative to the elements	0.16	eV/f.u.
magnetization	0.00	Bohr magnetons per cell

```
data_Pr5SmDy4
_chemical_formula_sum 'Pr10 Sm2 Dy8'
_symmetry_space_group_name_H-M 'C 1 2/m 1'
_symmetry_Int_Tables_number 12
_cell_length_a 18.861
_cell_length_b 3.644
_cell_length_c 10.284
_cell_angle_alpha 90.00
_cell_angle_beta 106.25
_cell_angle_gamma 90.00
loop_
_symmetry_equiv_pos_as_xyz
'x,y,z'
'-x,-y,-z'
'-x,y,-z'
'x,-y,z'
'x+1/2,y+1/2,z'
'-x+1/2,-y+1/2,-z'
'-x+1/2,y+1/2,-z'
'x+1/2,-y+1/2,z'
loop_
_atom_site_label
_atom_site_type_symbol
_atom_site_fract_x
_atom_site_fract_y
_atom_site_fract_z
Pr1 Pr 0.000 0.000 0.000
Pr2 Pr 0.100 0.500 0.305
Pr3 Pr 0.200 0.000 0.100
Sm1 Sm 0.000 0.000 0.500
Dy1 Dy 0.101 0.500 0.796
Dy2 Dy 0.200 0.000 0.600
```

8.
# PmThBeCu

PmThBeCu after structural relaxation (GGA-PBE, the Alexandria database).

Calculated values
energy relative to the elements	0.31	eV/f.u.
magnetization	0.00	Bohr magnetons per cell

```
data_PmThBeCu
_chemical_formula_sum 'Pm4 Th4 Be4 Cu4'
_symmetry_space_group_name_H-M 'F -4 3 m'
_symmetry_Int_Tables_number 216
_symmetry_space_group_name_Hall 'F -4 2 3'
_cell_length_a 7.084
_cell_length_b 7.084
_cell_length_c 7.084
_cell_angle_alpha 90.00
_cell_angle_beta 90.00
_cell_angle_gamma 90.00
loop_
_atom_site_label
_atom_site_type_symbol
_atom_site_fract_x
_atom_site_fract_y
_atom_site_fract_z
Pm1 Pm 0.000 0.000 0.000
Th1 Th 0.000 0.000 0.500
Be1 Be 0.250 0.250 0.250
Cu1 Cu 0.250 0.250 0.750
```

magnetization of number 8 (PmThBeCu)? 0.00 Bohr magnetons per cell

Among the records above, which one has the highest magnetization? SrSbP2N6

What is the formula in the eighth record? PmThBeCu